Entry 1:
## ThTc2B6 (PBE)

Data for ThTc2B6 after structural relaxation.

Unit cell a=4.7804 b=5.1305 c=5.0903 alpha=120.26 beta=108.32 gamma=90.00
Atoms (fractional coordinates):
Th: 0.0000 0.0000 0.0000
Tc: 0.0812 0.3321 0.6642
Tc: 0.9188 0.6679 0.3358
B: 0.6162 0.3775 0.3954
B: 0.3838 0.6225 0.6046
B: 0.3838 0.9820 0.6046
B: 0.5000 0.6698 0.0000
B: 0.5000 0.3302 0.0000
B: 0.6162 0.0180 0.3954

Results
**Spin magnetization**: 0.00 μB per cell
**Raw total energy**: -69.13 eV for the cell shown
**Space group**: C2/m
**Formation energy from the elements**: -0.1018 eV per atom
**Energy relative to the lowest polymorph listed for this composition**: 39.3 kJ per mole of atoms
**Calculated volume**: 100 Å³ per cell
**Fermi-level density of states**: 0.54 states/eV per atom

=====

Entry 2:
## CuAg2PdBr (PBE)

Data for CuAg2PdBr after structural relaxation.

Unit cell a=5.1656 b=4.5360 c=5.1656 alpha=90.00 beta=90.00 gamma=90.00
Atoms (fractional coordinates):
Br: 0.0000 0.0000 0.0000
Pd: 0.5000 0.5000 0.5000
Ag: 0.0000 0.0000 0.5000
Ag: 0.5000 0.0000 0.0000
Cu: 0.0000 0.5000 0.0000

Results
**Spin magnetization**: 0.00 μB per cell
**Raw total energy**: -12.24 eV for the cell shown
**Space group**: P4/mmm
**Calculated volume**: 121 Å³ per cell
**Fermi-level density of states**: 0.32 states/eV per atom
**Formation energy (no corrections)**: 884 meV/atom

=====

Entry 3:
## TbNd3Sm2As6 (PBE)

Data for TbNd3Sm2As6 after structural relaxation.

Unit cell a=4.2337 b=8.4609 c=9.4607 alpha=102.91 beta=102.93 gamma=90.00
Atoms (fractional coordinates):
Tb: 0.5000 0.0000 0.0000
Nd: 0.5000 0.5000 0.0000
Nd: 0.8331 0.1664 0.6663
Nd: 0.1669 0.8336 0.3337
Sm: 0.8338 0.6673 0.6675
Sm: 0.1662 0.3327 0.3325
As: 0.3353 0.9156 0.6707
As: 0.6674 0.5813 0.3349
As: 0.6647 0.0844 0.3293
As: 0.0005 0.2448 0.0011
As: 0.9995 0.7552 0.9989
As: 0.3326 0.4187 0.6651

Results
**Spin magnetization**: 0.00 μB per cell
**Raw total energy**: -74.51 eV for the cell shown
**Space group**: C2/m
**Formation energy from the elements**: -1.5197 eV per atom
**Calculated volume**: 322 Å³ per cell
**Fermi-level density of states**: 0.15 states/eV per atom

=====

Entry 4:
## LaTb6Dy (PBE)

Data for LaTb6Dy after structural relaxation.

Unit cell a=5.8716 b=5.8716 c=9.0358 alpha=78.95 beta=78.95 gamma=72.78
Atoms (fractional coordinates):
La: 0.0000 0.0000 0.0000
Tb: 0.4740 0.9547 0.7006
Tb: 0.9547 0.4740 0.7006
Tb: 0.0453 0.5260 0.2994
Tb: 0.5260 0.0453 0.2994
Tb: 0.6254 0.6254 0.0781
Tb: 0.3746 0.3746 0.9219
Dy: 0.5000 0.5000 0.5000

Results
**Spin magnetization**: 0.00 μB per cell
**Raw total energy**: -34.20 eV for the cell shown
**Space group**: C2/m
**Formation energy from the elements**: 0.3893 eV per atom
**Energy relative to the lowest polymorph listed for this composition**: 35.1 kJ per mole of atoms
**Calculated volume**: 289 Å³ per cell
**Fermi-level density of states**: 1.94 states/eV per atom

=====

Entry 5:
## RbYPuO6 (PBE)

Data for RbYPuO6 after structural relaxation.

Unit cell a=5.8656 b=5.8656 c=6.0275 alpha=90.00 beta=90.00 gamma=60.00
Atoms (fractional coordinates):
Rb: 0.0000 0.0000 0.0000
Y: 0.6666 0.6667 0.5000
Pu: 0.3333 0.3333 0.5000
O: 0.0365 0.3688 0.3173
O: 0.3688 0.0365 0.6827
O: 0.5946 0.3689 0.6827
O: 0.0365 0.5947 0.6827
O: 0.3688 0.5946 0.3173
O: 0.5947 0.0365 0.3173

Results
**Spin magnetization**: 0.00 μB per cell
**Raw total energy**: -73.34 eV for the cell shown
**Space group**: P312
**Calculated volume**: 180 Å³ per cell
**Formation energy (no corrections)**: -2426 meV/atom

=====

Entry 6:
## La7Nd2Dy3 (PBE)

Data for La7Nd2Dy3 after structural relaxation.

Unit cell a=3.6067 b=6.5775 c=18.4674 alpha=74.73 beta=90.00 gamma=90.00
Atoms (fractional coordinates):
La: 0.5000 0.2287 0.5092
La: 0.5000 0.7713 0.4908
La: 0.0000 0.5537 0.1658
La: 0.0000 0.0000 0.0000
La: 0.0000 0.4463 0.8342
La: 0.5000 0.9446 0.8285
La: 0.5000 0.0554 0.1715
Nd: 0.5000 0.6096 0.3305
Nd: 0.5000 0.3904 0.6695
Dy: 0.5000 0.5000 0.0000
Dy: 0.0000 0.1183 0.3380
Dy: 0.0000 0.8817 0.6620

Results
**Spin magnetization**: 0.00 μB per cell
**Raw total energy**: -57.13 eV for the cell shown
**Space group**: P2/m
**Formation energy from the elements**: 0.0584 eV per atom
**Calculated volume**: 423 Å³ per cell
**Fermi-level density of states**: 1.49 states/eV per atom

=====

Entry 7:
## YPOs2 (PBE)

Data for YPOs2 after structural relaxation.

Unit cell a=3.0717 b=4.5162 c=4.8450 alpha=90.00 beta=90.00 gamma=90.00
Atoms (fractional coordinates):
Y: 0.0000 0.5000 0.5000
P: 0.5000 0.0000 0.5000
Os: 0.0000 0.0000 0.0000
Os: 0.5000 0.5000 0.0000

Results
**Spin magnetization**: 0.00 μB per cell
**Raw total energy**: -33.35 eV for the cell shown
**Space group**: Pmmm
**Formation energy from the elements**: 0.2448 eV per atom
**Calculated volume**: 67 Å³ per cell
**Fermi-level density of states**: 1.18 states/eV per atom

=====

Entry 8:
## Mg2GaSn (PBE)

Data for Mg2GaSn after structural relaxation.

Unit cell a=4.4733 b=4.4733 c=10.1231 alpha=77.24 beta=77.24 gamma=90.00
Atoms (fractional coordinates):
Mg: 0.6080 0.1250 0.2500
Mg: 0.1420 0.6250 0.2500
Mg: 0.3750 0.3920 0.7500
Mg: 0.8750 0.8580 0.7500
Sn: 0.0000 0.0000 0.0000
Sn: 0.7500 0.2500 0.5000
Ga: 0.5000 0.5000 0.0000
Ga: 0.2500 0.7500 0.5000

Results
**Spin magnetization**: 0.00 μB per cell
**Raw total energy**: -20.23 eV for the cell shown
**Space group**: I-42d
**Formation energy from the elements**: 0.0261 eV per atom
**Calculated volume**: 192 Å³ per cell
**Fermi-level density of states**: 0.34 states/eV per atom

=====

Entry 9:
## TbSc2Zn6 (PBE)

Data for TbSc2Zn6 after structural relaxation.

Unit cell a=3.2896 b=7.6485 c=7.6470 alpha=120.01 beta=89.98 gamma=90.00
Atoms (fractional coordinates):
Tb: 0.0000 0.0000 0.0000
Sc: 0.0000 0.3334 0.6669
Sc: 0.0000 0.6666 0.3331
Zn: 0.4997 0.3381 0.3382
Zn: 0.5003 0.6619 0.6618
Zn: 0.5003 0.9999 0.6618
Zn: 0.5000 0.6619 0.0000
Zn: 0.5000 0.3381 0.0000
Zn: 0.4997 0.0001 0.3382

Results
**Spin magnetization**: 0.00 μB per cell
**Raw total energy**: -28.11 eV for the cell shown
**Space group**: P6/mmm
**Formation energy from the elements**: -0.3521 eV per atom
**Calculated volume**: 167 Å³ per cell
**Fermi-level density of states**: 0.61 states/eV per atom

=====

Entry 10:
## Pu2TcMo (PBE)

Data for Pu2TcMo after structural relaxation.

Unit cell a=3.4004 b=4.7653 c=4.7653 alpha=90.00 beta=90.00 gamma=90.00
Site moments in Bohr magnetons follow the coordinates.
Atoms (fractional coordinates):
Mo: 0.5000 0.5000 0.5000  -0.82
Tc: 0.5000 0.0000 0.0000  -0.86
Pu: 0.0000 0.0000 0.5000  4.60
Pu: 0.0000 0.5000 0.0000  4.60

Results
**Spin magnetization**: 7.75 μB per cell
**Raw total energy**: -48.83 eV for the cell shown
**Space group**: P4/mmm
**Formation energy from the elements**: 0.2577 eV per atom
**Energy relative to the lowest polymorph listed for this composition**: 0.0 kJ per mole of atoms
**Calculated volume**: 77 Å³ per cell
**Fermi-level density of states**: 2.60 states/eV per atom

=====

Entry 11:
## PmPuTlAu (PBE)

Data for PmPuTlAu after structural relaxation.

Unit cell a=5.3354 b=5.3354 c=5.3354 alpha=60.00 beta=60.00 gamma=60.00
Site moments in Bohr magnetons follow the coordinates.
Atoms (fractional coordinates):
Tl: 0.5000 0.5000 0.5000  -0.02
Pm: 0.2500 0.2500 0.2500  0.08
Au: 0.0000 0.0000 0.0000  0.00
Pu: 0.7500 0.7500 0.7500  5.42

Results
**Spin magnetization**: 5.77 μB per cell
**Raw total energy**: -26.00 eV for the cell shown
**Space group**: F-43m
**Formation energy from the elements**: -0.3186 eV per atom
**Calculated volume**: 107 Å³ per cell
**Fermi-level density of states**: 2.88 states/eV per atom

=====

Entry 12:
## SiTe3 (PBE)

Data for SiTe3 after structural relaxation.

Unit cell a=3.6247 b=3.6247 c=7.7752 alpha=90.00 beta=90.00 gamma=90.00
Atoms (fractional coordinates):
Si: 0.0000 0.0000 0.0000
Te: 0.5000 0.5000 0.2074
Te: 0.0000 0.0000 0.5000
Te: 0.5000 0.5000 0.7926

Results
**Spin magnetization**: 0.00 μB per cell
**Raw total energy**: -13.25 eV for the cell shown
**Space group**: P4/mmm
**Calculated volume**: 102 Å³ per cell
**Fermi-level density of states**: 0.47 states/eV per atom
**Formation energy (no corrections)**: 400 meV/atom